# Cs4Pr3MnO8 (PBE with a Hubbard U, optimized geometry)
data_Cs4Pr3MnO8
_chemical_formula_sum 'Cs8 Pr6 Mn2 O16'
_cell_length_a 13.0640
_cell_length_b 7.1289
_cell_length_c 7.9988
_cell_angle_alpha 90.00
_cell_angle_beta 119.27
_cell_angle_gamma 90.00
_space_group_name_H-M_alt 'C 1 2/m 1'
_space_group_IT_number 12
loop_
_space_group_symop_operation_xyz
'x,y,z'
'-x,-y,-z'
'-x,y,-z'
'x,-y,z'
'x+1/2,y+1/2,z'
'-x+1/2,-y+1/2,-z'
'-x+1/2,y+1/2,-z'
'x+1/2,-y+1/2,z'
loop_
_atom_site_label
_atom_site_fract_x
_atom_site_fract_y
_atom_site_fract_z
Cs1 0.0000 0.0000 0.0000
Cs2 0.0000 0.5000 0.0000
Cs3 0.2500 0.2500 0.0000
Pr1 0.0000 0.0000 0.5000
Pr2 0.2500 0.2500 0.5000
Mn1 0.0000 0.5000 0.5000
O1 0.0292 0.2901 0.3548
O2 0.2131 0.0000 0.6709
O3 0.2352 0.0000 0.2929
# Electronic total energy = -198.3 eV/cell
# Total moment = 4.04 μB per formula unit